# MnGe2BrF, relaxed, DFT PBE with a Hubbard U
# Total DFT energy (no corrections), eV/cell: -17.96
# Total magnetization, μB/cell: 4.3
data_MnGe2BrF
_chemical_formula_sum 'Mn1 Ge2 Br1 F1'
_cell_length_a 5.223
_cell_length_b 5.223
_cell_length_c 4.527
_cell_angle_alpha 90.00
_cell_angle_beta 90.00
_cell_angle_gamma 90.00
_space_group_name_H-M_alt 'P 4/m m m'
_space_group_IT_number 123
_space_group_name_Hall '-P 4 2'
loop_
_atom_site_label
_atom_site_fract_x
_atom_site_fract_y
_atom_site_fract_z
Mn1 0.000 0.000 0.000
Ge1 0.000 0.500 0.500
Br1 0.500 0.500 0.500
F1 0.500 0.500 0.000